Density functional theory data (PBE) for NaAs3Ir after structural relaxation.

As for the offset from the most stable computed form: 614.3 kJ/mol of formula units. The calculation puts the total energy at -3.206 eV/atom.

It has space group Pm-3m (No. 221), with a = 4.777 Å, b = 4.777 Å, c = 4.777 Å, α = 90.00°, β = 90.00° and γ = 90.00°. The asymmetric unit holds Na at (0.000, 0.000, 0.000), As at (0.000, 0.000, 0.500) and Ir at (0.500, 0.500, 0.500).

=====

Density functional theory data (PBE) for PrPaTe2S after structural relaxation.

The calculation puts the total energy at -6.120 eV/atom. The value obtained for the raw formation energy is -1.18 eV/atom.

It has space group P4/nmm (No. 129, origin choice 2), with a = 4.425 Å, b = 4.425 Å, c = 15.453 Å, α = 90.00°, β = 90.00° and γ = 90.00°. The asymmetric unit holds Pr at (0.250, 0.250, 0.108), Pa at (0.250, 0.250, 0.594), Te at (0.250, 0.250, 0.388), Te at (0.250, 0.250, 0.788) and S at (0.250, 0.750, 0.000).

=====

Density functional theory data (PBE) for TiTcPO2 after structural relaxation.

As for the offset from the most stable computed form: 0.0 kJ/mol of formula units. The calculation puts the total energy at -7.657 eV/atom. The value obtained for the raw formation energy is -0.94 eV/atom.

It has space group P4/mmm (No. 123), with a = 3.723 Å, b = 3.723 Å, c = 5.425 Å, α = 90.00°, β = 90.00° and γ = 90.00°. The asymmetric unit holds Ti at (0.000, 0.000, 0.000), Tc at (0.500, 0.500, 0.500), P at (0.000, 0.000, 0.500) and O at (0.000, 0.500, 0.000).

=====

Density functional theory data (PBE) for Sc4Bi2Pb after structural relaxation.

As for the offset from the most stable computed form: 232.0 kJ/mol of formula units. The calculation puts the total energy at -5.264 eV/atom.

It has space group I4/mmm (No. 139), with a = 5.293 Å, b = 5.293 Å, c = 15.541 Å, α = 90.00°, β = 90.00° and γ = 90.00°. The asymmetric unit holds Sc at (0.000, 0.000, 0.181), Sc at (0.000, 0.500, 0.000), Bi at (0.000, 0.000, 0.367) and Pb at (0.000, 0.000, 0.000).